Density functional theory data (PBE-GGA) for a geometry-optimized RbNaZnHg2 structure.

Properties
Calculated formation energy: -67.1 meV/atom
Space group: P4/mmm (123)

Geometry as POSCAR:
```
RbNaZnHg2
1.0
5.5177 0.0000 0.0000
0.0000 5.5177 0.0000
0.0000 0.0000 5.6042
Hg Rb Na Zn
2 1 1 1
Direct
0.5000 0.0000 0.0000
0.0000 0.5000 0.0000
0.5000 0.5000 0.5000
0.0000 0.0000 0.5000
0.0000 0.0000 0.0000
```